# Sc2TiI (PBE, optimized geometry)
data_Sc2TiI
_cell_length_a 8.046
_cell_length_b 8.046
_cell_length_c 6.446
_cell_angle_alpha 51.38
_cell_angle_beta 51.38
_cell_angle_gamma 90.00
_symmetry_space_group_name_H-M 'P 1'
_symmetry_Int_Tables_number 1
loop_
_symmetry_equiv_pos_as_xyz
'x,y,z'
loop_
_atom_site_label
_atom_site_type_symbol
_atom_site_fract_x
_atom_site_fract_y
_atom_site_fract_z
Ti1 Ti 0.250 0.750 0.500
Sc1 Sc 0.375 0.360 0.750
I1 I 0.750 0.250 0.500
Sc2 Sc 0.875 0.890 0.750
I2 I 0.000 0.000 0.000
Sc3 Sc 0.640 0.125 0.250
Ti2 Ti 0.500 0.500 0.000
Sc4 Sc 0.110 0.625 0.250
# E_form (uncorrected)   0.35 eV/atom

***

# ScTiI3 (PBE, optimized geometry)
data_ScTiI3
_cell_length_a 5.694
_cell_length_b 5.694
_cell_length_c 5.694
_cell_angle_alpha 90.00
_cell_angle_beta 90.00
_cell_angle_gamma 90.00
_symmetry_space_group_name_H-M 'P 1'
_symmetry_Int_Tables_number 1
loop_
_symmetry_equiv_pos_as_xyz
'x,y,z'
loop_
_atom_site_label
_atom_site_type_symbol
_atom_site_fract_x
_atom_site_fract_y
_atom_site_fract_z
I1 I 0.000 0.500 0.000
Ti1 Ti 0.500 0.500 0.500
I2 I 0.500 0.000 0.000
Sc1 Sc 0.000 0.000 0.000
I3 I 0.000 0.000 0.500
# E_form (uncorrected)   0.16 eV/atom

***

# ScTi2I6 (PBE, optimized geometry)
data_ScTi2I6
_cell_length_a 4.043
_cell_length_b 8.402
_cell_length_c 11.030
_cell_angle_alpha 114.04
_cell_angle_beta 90.00
_cell_angle_gamma 103.92
_symmetry_space_group_name_H-M 'P 1'
_symmetry_Int_Tables_number 1
loop_
_symmetry_equiv_pos_as_xyz
'x,y,z'
loop_
_atom_site_label
_atom_site_type_symbol
_atom_site_fract_x
_atom_site_fract_y
_atom_site_fract_z
Ti1 Ti 0.340 0.681 0.176
I1 I 0.023 0.047 0.780
I2 I 0.643 0.285 0.553
I3 I 0.700 0.400 0.109
I4 I 0.977 0.953 0.220
I5 I 0.300 0.600 0.891
Sc1 Sc 0.000 0.000 0.500
I6 I 0.357 0.715 0.447
Ti2 Ti 0.660 0.319 0.824
# E_form (uncorrected)   -0.81 eV/atom